[1]
First-principles (PBEsol) data for Li2CuSiO4 after structural relaxation, as listed in Alexandria.

Summary:
SG: No. 20
polymorph energy (0 for the lowest one): 31.2 meV per atom
calculated volume: 10.51 Å³ per atom
formation energy from raw total energies: -1.970 eV per atom
M_tot: 0.13 μB per atom

Lattice parameters (Å, degrees): 5.213 5.213 6.194 90.00 90.00 92.92
Each line ends with the local moment (μB).
Fractional coordinates of all 16 atoms:
O 0.638 0.296 0.000  0.09
O 0.704 0.362 0.500  0.09
O 0.296 0.638 0.000  0.09
O 0.362 0.704 0.500  0.09
O 0.807 0.802 0.282  0.07
O 0.193 0.198 0.782  0.07
O 0.802 0.807 0.718  0.07
O 0.198 0.193 0.218  0.07
Li 0.687 0.687 0.000  0.00
Li 0.183 0.817 0.250  0.00
Li 0.313 0.313 0.500  0.00
Li 0.817 0.183 0.750  0.00
Si 0.675 0.675 0.500  0.00
Si 0.325 0.325 0.000  0.00
Cu 0.819 0.181 0.250  0.61
Cu 0.181 0.819 0.750  0.61

***

[2]
First-principles (PBEsol) data for BaP3H after structural relaxation, as listed in Alexandria.

Summary:
SG: No. 221
calculated volume: 53.03 Å³ per atom
raw total energy: -2.616 eV per atom
M_tot: 1.60 μB per atom

Lattice parameters (Å, degrees): 6.425 6.425 6.425 90.00 90.00 90.00
Each line ends with the local moment (μB).
Fractional coordinates of all 5 atoms:
P 0.500 0.000 0.000  0.90
P 0.000 0.000 0.500  0.90
P 0.000 0.500 0.000  0.90
H 0.500 0.500 0.500  0.37
Ba 0.000 0.000 0.000  0.08

***

[3]
First-principles (PBEsol) data for SiSe5 after structural relaxation, as listed in Alexandria.

Summary:
SG: No. 216
polymorph energy (0 for the lowest one): 730.7 meV per atom
calculated volume: 20.32 Å³ per atom
formation energy from raw total energies: 0.728 eV per atom
M_tot: 0.00 μB per atom

Lattice parameters (Å, degrees): 5.566 5.566 5.566 60.00 60.00 60.00
Fractional coordinates of all 6 atoms:
Se 0.250 0.250 0.250
Se 0.624 0.624 0.129
Se 0.624 0.624 0.624
Se 0.624 0.129 0.624
Se 0.129 0.624 0.624
Si 0.000 0.000 0.000

***

[4]
First-principles (PBEsol) data for Ni2OsAu after structural relaxation, as listed in Alexandria.

Summary:
SG: No. 123
energy relative to the elements: 0.110 eV per atom
polymorph energy (0 for the lowest one): 0.0 meV per atom
calculated volume: 12.93 Å³ per atom
M_tot: 0.00 μB per atom

Lattice parameters (Å, degrees): 2.670 2.670 7.259 90.00 90.00 90.00
Fractional coordinates of all 4 atoms:
Ni 0.000 0.000 0.233
Ni 0.000 0.000 0.767
Au 0.500 0.500 0.500
Os 0.500 0.500 0.000

***

[5]
First-principles (PBEsol) data for SrCaHgRu2 after structural relaxation, as listed in Alexandria.

Summary:
SG: No. 123
energy relative to the elements: 1.107 eV per atom
calculated volume: 26.73 Å³ per atom
M_tot: 0.33 μB per atom

Lattice parameters (Å, degrees): 5.079 5.079 5.181 90.00 90.00 90.00
Each line ends with the local moment (μB).
Fractional coordinates of all 5 atoms:
Ru 0.500 0.000 0.000  0.80
Ru 0.000 0.500 0.000  0.80
Hg 0.000 0.000 0.000  0.01
Sr 0.500 0.500 0.500  -0.01
Ca 0.000 0.000 0.500  -0.03

***

[6]
First-principles (PBEsol) data for MgInW2 after structural relaxation, as listed in Alexandria.

Summary:
SG: No. 65
energy relative to the elements: 0.571 eV per atom
polymorph energy (0 for the lowest one): 232.7 meV per atom
calculated volume: 17.26 Å³ per atom
M_tot: 0.00 μB per atom

Lattice parameters (Å, degrees): 2.776 2.776 9.328 90.00 90.00 106.21
Fractional coordinates of all 4 atoms:
Mg 0.500 0.500 0.000
W 0.000 0.000 0.749
W 0.000 0.000 0.251
In 0.500 0.500 0.500

***

[7]
First-principles (PBEsol) data for Nb2P5 after structural relaxation, as listed in Alexandria.

Summary:
SG: No. 62
energy relative to the elements: -0.637 eV per atom
calculated volume: 15.58 Å³ per atom
M_tot: 0.00 μB per atom

Lattice parameters (Å, degrees): 3.311 7.879 16.720 90.00 90.00 90.00
Fractional coordinates of all 28 atoms:
P 0.750 0.184 0.384
P 0.250 0.850 0.314
P 0.250 0.880 0.021
P 0.750 0.993 0.185
P 0.250 0.460 0.041
P 0.750 0.120 0.979
P 0.750 0.507 0.685
P 0.250 0.493 0.315
P 0.250 0.007 0.815
P 0.250 0.684 0.116
P 0.750 0.960 0.459
P 0.250 0.816 0.616
P 0.750 0.150 0.686
P 0.750 0.316 0.884
P 0.750 0.540 0.959
P 0.250 0.620 0.521
P 0.250 0.040 0.541
P 0.250 0.650 0.814
P 0.750 0.350 0.186
P 0.750 0.380 0.479
Nb 0.750 0.673 0.226
Nb 0.750 0.665 0.405
Nb 0.250 0.335 0.595
Nb 0.250 0.327 0.774
Nb 0.750 0.835 0.905
Nb 0.250 0.173 0.274
Nb 0.750 0.827 0.726
Nb 0.250 0.165 0.095

***

[8]
First-principles (PBEsol) data for Rb3TlCl6 after structural relaxation, as listed in Alexandria.

Summary:
SG: No. 14
calculated volume: 30.81 Å³ per atom
formation energy from raw total energies: -1.489 eV per atom
M_tot: 0.00 μB per atom

Lattice parameters (Å, degrees): 7.902 12.433 13.168 107.72 90.00 90.00
Fractional coordinates of all 40 atoms:
Rb 0.428 0.382 0.182
Rb 0.939 0.354 0.591
Rb 0.070 0.765 0.818
Rb 0.572 0.618 0.818
Rb 0.061 0.646 0.409
Rb 0.439 0.146 0.409
Rb 0.570 0.735 0.182
Rb 0.430 0.265 0.818
Rb 0.072 0.882 0.182
Rb 0.930 0.235 0.182
Rb 0.561 0.854 0.591
Rb 0.928 0.118 0.818
Cl 0.776 0.605 0.595
Cl 0.996 0.878 0.626
Cl 0.791 0.394 0.848
Cl 0.276 0.895 0.405
Cl 0.704 0.992 0.151
Cl 0.684 0.346 0.371
Cl 0.709 0.894 0.848
Cl 0.224 0.395 0.405
Cl 0.863 0.692 0.000
Cl 0.496 0.622 0.374
Cl 0.184 0.154 0.629
Cl 0.363 0.808 0.000
Cl 0.209 0.606 0.152
Cl 0.637 0.192 0.000
Cl 0.504 0.378 0.626
Cl 0.296 0.008 0.849
Cl 0.137 0.308 0.000
Cl 0.004 0.122 0.374
Cl 0.724 0.105 0.595
Cl 0.316 0.654 0.629
Cl 0.291 0.106 0.152
Cl 0.796 0.492 0.151
Cl 0.204 0.508 0.849
Cl 0.816 0.846 0.371
Tl 0.000 0.000 0.500
Tl 0.500 0.500 0.500
Tl 0.000 0.500 0.000
Tl 0.500 0.000 0.000

***

[9]
First-principles (PBEsol) data for KCaHg after structural relaxation, as listed in Alexandria.

Summary:
SG: No. 107
energy relative to the elements: -0.217 eV per atom
calculated volume: 36.64 Å³ per atom
M_tot: 0.00 μB per atom

Lattice parameters (Å, degrees): 3.905 3.905 7.721 104.65 104.65 89.99
Fractional coordinates of all 3 atoms:
K 0.310 0.310 0.620
Ca 0.045 0.045 0.089
Hg 0.645 0.645 0.291

***

[10]
First-principles (PBEsol) data for CrFeOs2 after structural relaxation, as listed in Alexandria.

Summary:
SG: No. 38
energy relative to the elements: 0.044 eV per atom
calculated volume: 12.33 Å³ per atom
M_tot: 0.00 μB per atom

Lattice parameters (Å, degrees): 2.637 3.957 4.908 90.00 105.58 90.00
Fractional coordinates of all 4 atoms:
Fe 0.692 0.500 0.383
Os 0.076 0.000 0.152
Os 0.425 0.500 0.851
Cr 0.807 0.000 0.614

***

[11]
First-principles (PBEsol) data for NaGeB3 after structural relaxation, as listed in Alexandria.

Summary:
SG: No. 221
energy relative to the elements: 1.693 eV per atom
calculated volume: 14.71 Å³ per atom
M_tot: 0.00 μB per atom

Lattice parameters (Å, degrees): 4.190 4.190 4.190 90.00 90.00 90.00
Fractional coordinates of all 5 atoms:
Na 0.500 0.500 0.500
Ge 0.000 0.000 0.000
B 0.500 0.000 0.000
B 0.000 0.000 0.500
B 0.000 0.500 0.000

***

[12]
First-principles (PBEsol) data for BaNiO3 after structural relaxation, as listed in Alexandria.

Summary:
SG: No. 194
calculated volume: 13.04 Å³ per atom
formation energy from raw total energies: -1.710 eV per atom
M_tot: 0.00 μB per atom

Lattice parameters (Å, degrees): 4.778 5.614 5.614 120.00 90.00 90.00
Fractional coordinates of all 10 atoms:
Ba 0.750 0.333 0.667
Ba 0.250 0.667 0.333
O 0.750 0.852 0.148
O 0.250 0.148 0.296
O 0.750 0.852 0.704
O 0.250 0.704 0.852
O 0.250 0.148 0.852
O 0.750 0.296 0.148
Ni 0.500 0.000 0.000
Ni 0.000 0.000 0.000